A geometry-optimized Mn4Ir5 structure, computed with PBE-GGA.

Summary:
- symmetry = I4/mmm (139)
- magnetic moment (μB/cell) = 9.9
- distance to the lowest polymorph of the same formula (eV/atom) = 0.000
- energy of formation (eV/atom) = -0.1033
- raw total energy (eV for the cell shown) = -81.913

abc: 6.007 6.007 6.007
angles: 95.86 95.86 142.72
Element x y z (fractional)
1 Mn 0.000 0.325 0.325
2 Mn 0.000 0.675 0.675
3 Mn 0.325 0.000 0.325
4 Mn 0.675 0.000 0.675
5 Ir 0.000 0.000 0.000
6 Ir 0.332 0.332 0.665
7 Ir 0.332 0.668 0.000
8 Ir 0.668 0.332 0.000
9 Ir 0.668 0.668 0.335